Entry 1:
VASP calculation (GGA-PBE) on an optimized crystal structure of Cd2PtW.

Results
Its magnetization is 0.000 μB/atom. The formation energy comes out at 1.04 kcal/mol of atoms. The distance to the lowest polymorph of the same formula is 0 meV/atom.

```
Cd2PtW
1.0
2.921 0.000 0.000
0.000 2.921 0.000
0.000 0.000 8.513
Cd Pt W
2 1 1
Direct
0.000 0.000 0.000
0.500 0.500 0.287
0.000 0.000 0.539
0.500 0.500 0.745
```

Entry 2:
VASP calculation (GGA-PBE) on an optimized crystal structure of RbAgHg2Sb.

Results
Its magnetization is 0.122 μB/atom. The calculation puts the uncorrected formation energy at -0.007 eV per atom. The distance to the lowest polymorph of the same formula is 3 meV/atom.

```
RbAgHg2Sb
1.0
5.580 0.000 0.000
0.000 5.580 0.000
0.000 0.000 5.554
Rb Ag Hg Sb
1 1 2 1
Direct
0.000 0.000 0.000
0.500 0.500 0.500
0.000 0.500 0.500
0.500 0.000 0.500
0.500 0.500 0.000
```